No. 1
The following is a DFT calculation (PBE) of a geometry-optimized Pu2RhCl structure.

Calculated values
As for the size of the total moment: 11.295 μB/f.u. The value obtained for the total energy is -10.237 eV/atom. The space group is No. 123. The formation energy (no corrections) comes out at -0.771 eV per atom.

a b c (Å): 3.375 3.375 7.810
angles (deg): 90.00 90.00 90.00
Fractional positions:
Pu 0.000 0.000 0.221
Pu 0.000 0.000 0.779
Rh 0.500 0.500 0.000
Cl 0.500 0.500 0.500


No. 2
The following is a DFT calculation (PBE) of a geometry-optimized ScNi2Te structure.

Calculated values
As for the size of the total moment: 0.000 μB/f.u. The value obtained for the total energy is -5.749 eV/atom. The space group is No. 187. The formation energy (no corrections) comes out at -0.490 eV per atom.

a b c (Å): 4.056 4.056 4.880
angles (deg): 90.00 90.00 120.00
Fractional positions:
Ni 0.333 0.667 0.747
Ni 0.333 0.667 0.253
Te 0.667 0.333 0.500
Sc 0.000 0.000 0.000